Compound: SrMnPb2F8
Source: the Alexandria database
Functional: PBE+U
Structure: relaxed

Summary:
DOS(E_F)	0.00	states/eV/f.u.
E	-65.4	eV per cell

a b c (Å): 4.146 8.058 5.810
angles (deg): 90.00 92.79 90.00
Positions (direct):
Sr: 0.000 0.000 0.000
Mn: 0.000 0.500 0.000
Pb: 0.500 0.262 0.500
Pb: 0.500 0.738 0.500
F: 0.023 0.272 0.768
F: 0.023 0.728 0.768
F: 0.456 0.500 0.223
F: 0.496 0.000 0.755
F: 0.504 0.000 0.245
F: 0.544 0.500 0.777
F: 0.977 0.272 0.232
F: 0.977 0.728 0.232